# 1
A plane-wave DFT calculation with PBE was carried out for a relaxed Tb7Tl2Hg2 crystal.

ΔE_f ... -0.05 eV per atom
Total energy ... -38.3 eV for the cell shown

Cell lengths 6.878, 7.777, 6.878 Å; angles 90.00, 109.68, 90.00 degrees
Atoms (fractional coordinates):
Tb (0.500, 0.717, 0.000)
Tb (0.000, 0.283, 0.500)
Tb (0.000, 0.000, 0.000)
Tb (0.500, 0.283, 0.000)
Tb (0.000, 0.717, 0.500)
Tb (0.500, 0.250, 0.500)
Tb (0.500, 0.750, 0.500)
Tl (0.815, 0.500, 0.815)
Tl (0.185, 0.500, 0.185)
Hg (0.287, 0.000, 0.713)
Hg (0.713, 0.000, 0.287)

# 2
A plane-wave DFT calculation with PBE was carried out for a relaxed SnBi2Ru crystal.

ΔE_f ... 0.69 eV per atom
Total energy ... -18.3 eV for the cell shown

Cell lengths 3.300, 3.300, 11.362 Å; angles 81.65, 81.65, 60.00 degrees
Atoms (fractional coordinates):
Bi (0.078, 0.078, 0.766)
Bi (0.922, 0.922, 0.234)
Sn (0.500, 0.500, 0.500)
Ru (0.000, 0.000, 0.000)

# 3
A plane-wave DFT calculation with PBE was carried out for a relaxed Ti2VH crystal.

Total energy ... -25.7 eV for the cell shown
Polymorph energy (0 for the lowest one) ... 668 meV per atom

Cell lengths 4.205, 4.205, 4.205 Å; angles 60.00, 60.00, 60.00 degrees
Atoms (fractional coordinates):
H (0.000, 0.000, 0.000)
Ti (0.750, 0.750, 0.750)
Ti (0.250, 0.250, 0.250)
V (0.500, 0.500, 0.500)

# 4
A plane-wave DFT calculation with PBE was carried out for a relaxed V2AuI crystal.

Total energy ... -40.3 eV for the cell shown
Polymorph energy (0 for the lowest one) ... 130 meV per atom

Cell lengths 7.213, 7.213, 6.132 Å; angles 53.97, 53.97, 90.00 degrees
Atoms (fractional coordinates):
V (0.113, 0.625, 0.250)
V (0.875, 0.887, 0.750)
V (0.637, 0.125, 0.250)
V (0.375, 0.363, 0.750)
I (0.250, 0.750, 0.500)
I (0.500, 0.500, 0.000)
Au (0.000, 0.000, 0.000)
Au (0.750, 0.250, 0.500)

# 5
A plane-wave DFT calculation with PBE was carried out for a relaxed LaDy6Er2Tm crystal.

ΔE_f ... 0.12 eV per atom
Total energy ... -89.8 eV for the cell shown

Cell lengths 9.398, 8.783, 8.783 Å; angles 116.79, 92.68, 92.68 degrees
Atoms (fractional coordinates):
Er (0.948, 0.693, 0.797)
Er (0.552, 0.203, 0.307)
Er (0.448, 0.797, 0.693)
Er (0.052, 0.307, 0.203)
Dy (0.942, 0.878, 0.243)
Dy (0.182, 0.556, 0.009)
Dy (0.614, 0.483, 0.709)
Dy (0.318, 0.991, 0.444)
Dy (0.682, 0.009, 0.556)
Dy (0.386, 0.517, 0.291)
Dy (0.058, 0.122, 0.757)
Dy (0.886, 0.291, 0.517)
Dy (0.114, 0.709, 0.483)
Dy (0.818, 0.444, 0.991)
Dy (0.558, 0.757, 0.122)
Dy (0.442, 0.243, 0.878)
Tm (0.250, 0.412, 0.588)
Tm (0.750, 0.588, 0.412)
La (0.250, 0.967, 0.033)
La (0.750, 0.033, 0.967)

# 6
A plane-wave DFT calculation with PBE was carried out for a relaxed LiEr2Zr crystal.

ΔE_f ... 0.10 eV per atom
Total energy ... -19.2 eV for the cell shown
Polymorph energy (0 for the lowest one) ... 37 meV per atom

Cell lengths 3.359, 3.359, 11.119 Å; angles 81.31, 81.31, 60.00 degrees
Atoms (fractional coordinates):
Zr (0.667, 0.667, 0.000)
Er (0.253, 0.253, 0.240)
Er (0.080, 0.080, 0.761)
Li (0.500, 0.500, 0.500)

# 7
A plane-wave DFT calculation with PBE was carried out for a relaxed Mg2BeOs crystal.

ΔE_f ... 0.41 eV per atom
Total energy ... -16.5 eV for the cell shown

Cell lengths 2.736, 2.736, 8.733 Å; angles 90.00, 90.00, 111.46 degrees
Atoms (fractional coordinates):
Os (0.500, 0.500, 0.250)
Be (0.500, 0.500, 0.750)
Mg (0.000, 0.000, 0.505)
Mg (0.000, 0.000, 0.995)

# 8
A plane-wave DFT calculation with PBE was carried out for a relaxed NaTlPbF6 crystal.

Total energy ... -77.7 eV for the cell shown

Cell lengths 5.388, 5.388, 11.047 Å; angles 90.00, 90.00, 90.00 degrees
Atoms (fractional coordinates):
F (0.181, 0.819, 0.489)
F (0.308, 0.308, 0.682)
F (0.681, 0.681, 0.989)
F (0.791, 0.209, 0.830)
F (0.319, 0.319, 0.989)
F (0.192, 0.808, 0.182)
F (0.808, 0.192, 0.182)
F (0.692, 0.692, 0.682)
F (0.209, 0.791, 0.830)
F (0.819, 0.181, 0.489)
F (0.291, 0.291, 0.330)
F (0.709, 0.709, 0.330)
Pb (0.000, 0.000, 0.998)
Pb (0.500, 0.500, 0.498)
Na (0.500, 0.500, 0.167)
Na (0.000, 0.000, 0.667)
Tl (0.500, 0.500, 0.832)
Tl (0.000, 0.000, 0.332)

# 9
A plane-wave DFT calculation with PBE was carried out for a relaxed Sm4AlTlCd2 crystal.

ΔE_f ... -0.35 eV per atom
Total energy ... -29.6 eV for the cell shown

Cell lengths 5.369, 5.369, 9.320 Å; angles 73.26, 73.26, 60.00 degrees
Atoms (fractional coordinates):
Sm (0.128, 0.128, 0.616)
Sm (0.872, 0.872, 0.384)
Sm (0.622, 0.622, 0.135)
Sm (0.378, 0.378, 0.865)
Tl (0.000, 0.000, 0.000)
Al (0.500, 0.500, 0.500)
Cd (0.750, 0.750, 0.749)
Cd (0.250, 0.250, 0.251)

# 10
A plane-wave DFT calculation with PBE was carried out for a relaxed MgIn16Sn12 crystal.

ΔE_f ... 0.03 eV per atom
Total energy ... -92.5 eV for the cell shown

Cell lengths 9.946, 9.946, 10.399 Å; angles 109.23, 109.23, 108.06 degrees
Atoms (fractional coordinates):
Sn (0.372, 0.003, 0.199)
Sn (0.598, 0.792, 0.582)
Sn (0.617, 0.617, 0.798)
Sn (0.003, 0.372, 0.199)
Sn (0.398, 0.206, 0.011)
Sn (0.204, 0.007, 0.406)
Sn (0.164, 0.812, 0.814)
Sn (0.812, 0.164, 0.814)
Sn (0.792, 0.598, 0.582)
Sn (0.812, 0.812, 0.166)
Sn (0.206, 0.398, 0.011)
Sn (0.007, 0.204, 0.406)
In (0.359, 0.359, 0.354)
In (0.003, 0.658, 0.999)
In (0.702, 0.415, 0.998)
In (0.269, 0.596, 0.596)
In (0.714, 0.294, 0.302)
In (0.686, 0.984, 0.399)
In (0.995, 0.407, 0.702)
In (0.294, 0.714, 0.302)
In (0.009, 0.009, 0.010)
In (0.415, 0.702, 0.998)
In (0.320, 0.320, 0.733)
In (0.407, 0.995, 0.702)
In (0.658, 0.003, 0.999)
In (0.596, 0.269, 0.596)
In (0.984, 0.686, 0.399)
In (0.009, 0.009, 0.663)
Mg (0.594, 0.594, 0.261)

# 11
A plane-wave DFT calculation with PBE was carried out for a relaxed LaHfPd2 crystal.

ΔE_f ... -0.51 eV per atom
Total energy ... -27.3 eV for the cell shown
Polymorph energy (0 for the lowest one) ... 183 meV per atom

Cell lengths 4.957, 4.957, 4.957 Å; angles 60.00, 60.00, 60.00 degrees
Atoms (fractional coordinates):
Pd (0.250, 0.250, 0.250)
Pd (0.750, 0.750, 0.750)
La (0.000, 0.000, 0.000)
Hf (0.500, 0.500, 0.500)

# 12
A plane-wave DFT calculation with PBE was carried out for a relaxed Nd2HoCo crystal.

ΔE_f ... -0.07 eV per atom
Total energy ... -43.0 eV for the cell shown
Polymorph energy (0 for the lowest one) ... 25 meV per atom

Cell lengths 3.753, 6.239, 9.832 Å; angles 90.00, 90.00, 107.50 degrees
Atoms (fractional coordinates):
Co (0.761, 0.523, 0.750)
Co (0.239, 0.477, 0.250)
Nd (0.637, 0.275, 0.427)
Nd (0.363, 0.725, 0.927)
Nd (0.637, 0.275, 0.073)
Nd (0.363, 0.725, 0.573)
Ho (0.092, 0.184, 0.750)
Ho (0.908, 0.816, 0.250)

# 13
A plane-wave DFT calculation with PBE was carried out for a relaxed Tb3Pd3Pt5 crystal.

ΔE_f ... -0.58 eV per atom
Total energy ... -66.1 eV for the cell shown

Cell lengths 4.093, 8.286, 8.286 Å; angles 120.00, 90.00, 90.00 degrees
Atoms (fractional coordinates):
Pd (0.500, 0.187, 0.187)
Pd (0.500, 0.000, 0.813)
Pd (0.500, 0.813, 0.000)
Pt (0.500, 0.333, 0.667)
Pt (0.500, 0.633, 0.633)
Pt (0.500, 0.667, 0.333)
Pt (0.500, 0.367, 0.000)
Pt (0.500, 0.000, 0.367)
Tb (0.000, 0.594, 0.000)
Tb (0.000, 0.406, 0.406)
Tb (0.000, 0.000, 0.594)

# 14
A plane-wave DFT calculation with PBE was carried out for a relaxed HfScI2N crystal.

Total energy ... -28.3 eV for the cell shown
Polymorph energy (0 for the lowest one) ... 0 meV per atom

Cell lengths 5.850, 5.850, 3.983 Å; angles 90.00, 90.00, 90.00 degrees
Atoms (fractional coordinates):
I (0.000, 0.500, 0.000)
I (0.500, 0.000, 0.000)
N (0.000, 0.000, 0.500)
Sc (0.500, 0.500, 0.500)
Hf (0.000, 0.000, 0.000)

# 15
A plane-wave DFT calculation with PBE was carried out for a relaxed Pr2Tc2C2N crystal.

Total energy ... -59.4 eV for the cell shown

Cell lengths 3.445, 5.812, 6.111 Å; angles 68.77, 73.63, 72.76 degrees
Atoms (fractional coordinates):
Tc (0.203, 0.689, 0.904)
Tc (0.797, 0.311, 0.096)
Pr (0.566, 0.203, 0.665)
Pr (0.434, 0.797, 0.335)
C (0.816, 0.625, 0.744)
C (0.184, 0.375, 0.256)
N (0.000, 0.000, 0.000)

# 16
A plane-wave DFT calculation with PBE was carried out for a relaxed Ti5AlHg2 crystal.

ΔE_f ... -0.15 eV per atom
Total energy ... -45.0 eV for the cell shown

Cell lengths 4.063, 4.063, 9.034 Å; angles 103.00, 103.00, 90.00 degrees
Atoms (fractional coordinates):
Ti (0.384, 0.884, 0.768)
Ti (0.116, 0.616, 0.232)
Ti (0.616, 0.116, 0.232)
Ti (0.884, 0.384, 0.768)
Ti (0.500, 0.500, 0.000)
Hg (0.249, 0.249, 0.497)
Hg (0.751, 0.751, 0.503)
Al (0.000, 0.000, 0.000)

# 17
A plane-wave DFT calculation with PBE was carried out for a relaxed CsRb5Hg3 crystal.

ΔE_f ... -0.11 eV per atom
Total energy ... -15.3 eV for the cell shown

Cell lengths 9.500, 9.500, 14.642 Å; angles 100.15, 116.30, 92.61 degrees
Atoms (fractional coordinates):
Hg (0.000, 0.000, 0.000)
Hg (0.235, 0.994, 0.229)
Hg (0.765, 0.006, 0.771)
Hg (0.000, 0.500, 0.500)
Hg (0.334, 0.479, 0.813)
Hg (0.666, 0.521, 0.187)
Rb (0.566, 0.310, 0.350)
Rb (0.678, 0.262, 0.940)
Rb (0.322, 0.738, 0.060)
Rb (0.403, 0.193, 0.597)
Rb (0.733, 0.733, 0.000)
Rb (0.267, 0.267, 0.000)
Rb (0.960, 0.216, 0.650)
Rb (0.597, 0.807, 0.403)
Rb (0.040, 0.784, 0.350)
Rb (0.434, 0.690, 0.650)
Cs (0.992, 0.270, 0.263)
Cs (0.008, 0.730, 0.737)

# 18
A plane-wave DFT calculation with PBE was carried out for a relaxed La2Bi crystal.

ΔE_f ... -0.62 eV per atom
Total energy ... -15.6 eV for the cell shown
Polymorph energy (0 for the lowest one) ... 128 meV per atom

Cell lengths 4.376, 4.376, 6.002 Å; angles 111.38, 111.38, 90.00 degrees
Atoms (fractional coordinates):
La (0.351, 0.351, 0.703)
La (0.649, 0.649, 0.297)
Bi (0.000, 0.000, 0.000)

# 19
A plane-wave DFT calculation with PBE was carried out for a relaxed Ta4BSe5 crystal.

Total energy ... -79.5 eV for the cell shown

Cell lengths 3.471, 7.290, 8.211 Å; angles 102.38, 102.20, 90.00 degrees
Atoms (fractional coordinates):
Ta (0.002, 0.796, 0.003)
Ta (0.998, 0.204, 0.997)
Ta (0.639, 0.070, 0.277)
Ta (0.361, 0.930, 0.723)
B (0.500, 0.000, 0.000)
Se (0.163, 0.339, 0.325)
Se (0.171, 0.827, 0.342)
Se (0.829, 0.173, 0.658)
Se (0.500, 0.500, 0.000)
Se (0.837, 0.661, 0.675)

# 20
A plane-wave DFT calculation with PBE was carried out for a relaxed SrCrPd crystal.

ΔE_f ... 0.37 eV per atom
Total energy ... -61.6 eV for the cell shown
Polymorph energy (0 for the lowest one) ... 368 meV per atom

Cell lengths 11.347, 4.139, 6.106 Å; angles 90.00, 90.00, 90.00 degrees
Atoms (fractional coordinates):
Pd (0.049, 0.750, 0.618)
Pd (0.549, 0.750, 0.882)
Pd (0.451, 0.250, 0.118)
Pd (0.951, 0.250, 0.382)
Cr (0.500, 0.000, 0.500)
Cr (0.000, 0.500, 0.000)
Cr (0.000, 0.000, 0.000)
Cr (0.500, 0.500, 0.500)
Sr (0.785, 0.750, 0.601)
Sr (0.215, 0.250, 0.399)
Sr (0.715, 0.250, 0.101)
Sr (0.285, 0.750, 0.899)